CoTeBr | PBE-GGA | optimized geometry

a = 3.573 Å, b = 5.811 Å, c = 7.586 Å
α = 97.21°, β = 101.12°, γ = 90.03°
Site moments in Bohr magnetons follow the coordinates.
Sites, in units of the cell vectors:
Te: 0.943 0.475 0.030  -0.04
Te: 0.402 0.959 0.928  -0.05
Co: 0.834 0.701 0.763  0.53
Co: 0.834 0.162 0.762  0.51
Br: 0.721 0.886 0.490  0.04
Br: 0.270 0.406 0.609  0.04

Output
formation energy (no corrections)	-138	meV per atom
M_tot	1.0	Bohr magnetons per cell
Fermi-level density of states	4.69	states/eV/cell
SG	P1, No. 1

HfTiI2 | PBE-GGA | optimized geometry

a = 7.744 Å, b = 7.744 Å, c = 6.508 Å
α = 53.49°, β = 53.49°, γ = 90.00°
Site moments in Bohr magnetons follow the coordinates.
Sites, in units of the cell vectors:
I: 0.609 0.125 0.250  0.01
I: 0.141 0.625 0.250  0.00
I: 0.375 0.391 0.750  0.00
I: 0.875 0.859 0.750  0.00
Hf: 0.000 0.000 0.000  -0.21
Hf: 0.750 0.250 0.500  -0.20
Ti: 0.500 0.500 0.000  1.22
Ti: 0.250 0.750 0.500  1.22

Output
formation energy (no corrections)	539	meV per atom
M_tot	2.7	Bohr magnetons per cell
Fermi-level density of states	10.02	states/eV/cell
excess energy over the best structure of this formula in the dataset	0.297	eV/atom
SG	I-42d, No. 122

Sr2GaBr | PBE-GGA | optimized geometry

a = 5.701 Å, b = 5.701 Å, c = 5.701 Å
α = 60.00°, β = 60.00°, γ = 60.00°
Site moments in Bohr magnetons follow the coordinates.
Sites, in units of the cell vectors:
Sr: 0.250 0.250 0.250  0.11
Sr: 0.750 0.750 0.750  0.11
Ga: 0.000 0.000 0.000  0.39
Br: 0.500 0.500 0.500  0.09

Output
formation energy (no corrections)	-682	meV per atom
M_tot	2.0	Bohr magnetons per cell
Fermi-level density of states	2.22	states/eV/cell
excess energy over the best structure of this formula in the dataset	0.329	eV/atom
SG	Fm-3m, No. 225

Mg8ScTl6 | PBE-GGA | optimized geometry

a = 8.492 Å, b = 8.492 Å, c = 7.995 Å
α = 57.92°, β = 57.92°, γ = 60.00°
Sites, in units of the cell vectors:
Mg: 0.550 0.231 0.331
Mg: 0.769 0.112 0.669
Mg: 0.112 0.450 0.669
Mg: 0.667 0.667 0.999
Mg: 0.333 0.333 0.001
Mg: 0.888 0.550 0.331
Mg: 0.231 0.888 0.331
Mg: 0.450 0.769 0.669
Sc: 0.000 0.000 0.000
Tl: 0.393 0.064 0.805
Tl: 0.936 0.262 0.195
Tl: 0.262 0.607 0.195
Tl: 0.738 0.393 0.805
Tl: 0.064 0.738 0.805
Tl: 0.607 0.936 0.195

Output
VASP energy	-2.192	eV per atom
M_tot	0.0	Bohr magnetons per cell
Fermi-level density of states	7.20	states/eV/cell
SG	R-3, No. 148

PmSiNi11 | PBE-GGA | optimized geometry

a = 4.687 Å, b = 6.237 Å, c = 6.270 Å
α = 82.62°, β = 68.05°, γ = 69.91°
Site moments in Bohr magnetons follow the coordinates.
Sites, in units of the cell vectors:
Pm: 0.000 0.000 0.000  -0.04
Si: 0.500 0.500 0.000  -0.01
Ni: 0.282 0.232 0.226  0.20
Ni: 0.718 0.768 0.774  0.20
Ni: 0.492 0.768 0.226  0.20
Ni: 0.508 0.232 0.774  0.20
Ni: 0.341 0.646 0.645  0.25
Ni: 0.659 0.354 0.355  0.25
Ni: 0.014 0.354 0.645  0.25
Ni: 0.986 0.646 0.355  0.25
Ni: 0.000 0.500 0.000  0.18
Ni: 0.500 0.000 0.500  0.35
Ni: 0.000 0.000 0.500  0.35

Output
formation energy (no corrections)	-246	meV per atom
M_tot	2.4	Bohr magnetons per cell
Fermi-level density of states	20.69	states/eV/cell
SG	C2/m, No. 12

Nd2HoRh3 | PBE-GGA | optimized geometry

a = 4.195 Å, b = 5.713 Å, c = 6.863 Å
α = 114.59°, β = 107.80°, γ = 90.00°
Sites, in units of the cell vectors:
Nd: 0.670 0.170 0.340
Nd: 0.330 0.830 0.660
Ho: 0.000 0.500 0.000
Rh: 0.348 0.348 0.696
Rh: 0.000 0.000 0.000
Rh: 0.652 0.652 0.304

Output
M_tot	0.0	Bohr magnetons per cell
Fermi-level density of states	1.07	states/eV/cell
excess energy over the best structure of this formula in the dataset	0.180	eV/atom
SG	Immm, No. 71

Er6Tl5Bi | PBE-GGA | optimized geometry

a = 9.907 Å, b = 5.027 Å, c = 7.977 Å
α = 71.59°, β = 80.83°, γ = 59.52°
Sites, in units of the cell vectors:
Er: 0.746 0.087 0.334
Er: 0.254 0.579 0.334
Er: 0.253 0.246 0.000
Er: 0.747 0.754 0.000
Er: 0.746 0.421 0.666
Er: 0.254 0.913 0.666
Tl: 0.500 0.167 0.667
Tl: 0.000 0.328 0.344
Tl: 0.500 0.500 0.000
Tl: 0.000 0.672 0.656
Tl: 0.500 0.833 0.333
Bi: 0.000 0.000 0.000

Output
M_tot	0.0	Bohr magnetons per cell
Fermi-level density of states	9.79	states/eV/cell
excess energy over the best structure of this formula in the dataset	0.000	eV/atom
SG	C2/m, No. 12

FeNi7Pd2 | PBE-GGA | optimized geometry

a = 2.674 Å, b = 9.683 Å, c = 7.133 Å
α = 48.67°, β = 67.98°, γ = 90.00°
Site moments in Bohr magnetons follow the coordinates.
Sites, in units of the cell vectors:
Fe: 0.000 0.000 0.000  2.89
Ni: 0.928 0.282 0.572  0.69
Ni: 0.072 0.718 0.428  0.69
Ni: 0.651 0.209 0.349  0.62
Ni: 0.349 0.791 0.651  0.62
Ni: 0.743 0.943 0.757  0.65
Ni: 0.257 0.057 0.243  0.65
Ni: 0.500 0.500 0.000  0.63
Pd: 0.195 0.376 0.805  0.20
Pd: 0.805 0.624 0.195  0.20

Output
VASP energy	-5.895	eV per atom
M_tot	7.6	Bohr magnetons per cell
Fermi-level density of states	15.18	states/eV/cell
SG	P2/m, No. 10

What did the seventh record say?
Er6Tl5Bi | PBE-GGA | optimized geometry

a = 9.907 Å, b = 5.027 Å, c = 7.977 Å
α = 71.59°, β = 80.83°, γ = 59.52°
Sites, in units of the cell vectors:
Er: 0.746 0.087 0.334
Er: 0.254 0.579 0.334
Er: 0.253 0.246 0.000
Er: 0.747 0.754 0.000
Er: 0.746 0.421 0.666
Er: 0.254 0.913 0.666
Tl: 0.500 0.167 0.667
Tl: 0.000 0.328 0.344
Tl: 0.500 0.500 0.000
Tl: 0.000 0.672 0.656
Tl: 0.500 0.833 0.333
Bi: 0.000 0.000 0.000

Output
M_tot	0.0	Bohr magnetons per cell
Fermi-level density of states	9.79	states/eV/cell
excess energy over the best structure of this formula in the dataset	0.000	eV/atom
SG	C2/m, No. 12